First-principles (GGA-PBE) data for crystalline NaCd3Hg at its relaxed geometry, as listed in the Alexandria database.

Summary:
Space-group type = Pm-3m

Cell and atoms, written as POSCAR:
```
NaCd3Hg
1.0
5.486 0.000 0.000
0.000 5.486 0.000
0.000 0.000 5.486
Na Cd Hg
1 3 1
Direct
0.000 0.000 0.000
0.000 0.500 0.500
0.500 0.000 0.500
0.500 0.500 0.000
0.500 0.500 0.500
```

---

First-principles (GGA-PBE) data for crystalline Na4CdHg5 at its relaxed geometry, as listed in the Alexandria database.

Summary:
Space-group type = P4/mmm

Cell and atoms, written as POSCAR:
```
Na4CdHg5
1.0
3.614 0.000 0.000
0.000 3.614 0.000
0.000 0.000 19.498
Na Cd Hg
4 1 5
Direct
0.000 0.000 0.100
0.000 0.000 0.304
0.000 0.000 0.696
0.000 0.000 0.900
0.000 0.000 0.500
0.500 0.500 0.000
0.500 0.500 0.200
0.500 0.500 0.401
0.500 0.500 0.599
0.500 0.500 0.800
```

---

First-principles (GGA-PBE) data for crystalline Na4CdHg7 at its relaxed geometry, as listed in the Alexandria database.

Summary:
Space-group type = P-1

Cell and atoms, written as POSCAR:
```
Na4CdHg7
1.0
5.582 0.000 0.000
0.080 6.737 0.000
1.046 3.347 8.363
Na Cd Hg
4 1 7
Direct
0.247 0.122 0.282
0.249 0.597 0.280
0.751 0.403 0.720
0.753 0.878 0.718
0.000 0.000 0.000
0.248 0.182 0.636
0.256 0.706 0.585
0.258 0.534 0.936
0.500 0.000 0.000
0.742 0.466 0.064
0.744 0.294 0.415
0.752 0.818 0.364
```

---

First-principles (GGA-PBE) data for crystalline NaCd3Hg6 at its relaxed geometry, as listed in the Alexandria database.

Summary:
Space-group type = P2_1/c

Cell and atoms, written as POSCAR:
```
NaCd3Hg6
1.0
7.065 0.000 0.000
0.000 9.185 0.000
-6.673 0.000 8.163
Na Cd Hg
2 6 12
Direct
0.000 0.000 0.000
0.000 0.500 0.500
0.380 0.137 0.729
0.380 0.363 0.229
0.500 0.000 0.500
0.500 0.500 0.000
0.620 0.637 0.771
0.620 0.863 0.271
0.034 0.166 0.279
0.034 0.334 0.779
0.172 0.659 0.035
0.172 0.841 0.535
0.469 0.144 0.058
0.469 0.356 0.558
0.531 0.644 0.442
0.531 0.856 0.942
0.828 0.159 0.465
0.828 0.341 0.965
0.966 0.666 0.221
0.966 0.834 0.721
```

---

First-principles (GGA-PBE) data for crystalline NaCd3Hg6 at its relaxed geometry, as listed in the Alexandria database.

Summary:
Space-group type = P2_1/m

Cell and atoms, written as POSCAR:
```
NaCd3Hg6
1.0
9.203 0.000 0.000
0.000 5.197 0.000
-3.736 0.000 10.425
Na Cd Hg
2 6 12
Direct
0.061 0.250 0.380
0.939 0.750 0.620
0.260 0.250 0.983
0.337 0.750 0.845
0.463 0.250 0.570
0.537 0.750 0.430
0.663 0.250 0.155
0.740 0.750 0.017
0.042 0.750 0.926
0.144 0.750 0.237
0.169 0.250 0.680
0.255 0.750 0.546
0.362 0.250 0.274
0.457 0.750 0.136
0.543 0.250 0.864
0.638 0.750 0.726
0.745 0.250 0.454
0.831 0.750 0.320
0.856 0.250 0.763
0.958 0.250 0.074
```

---

First-principles (GGA-PBE) data for crystalline Na7CdHg4 at its relaxed geometry, as listed in the Alexandria database.

Summary:
Space-group type = C2/m

Cell and atoms, written as POSCAR:
```
Na7CdHg4
1.0
7.360 -2.892 0.000
7.360 2.892 0.000
-4.597 0.000 8.225
Na Cd Hg
7 1 4
Direct
0.000 0.000 0.000
0.250 0.250 0.716
0.316 0.316 0.131
0.422 0.422 0.587
0.578 0.578 0.413
0.684 0.684 0.869
0.750 0.750 0.284
0.500 0.500 0.000
0.036 0.036 0.687
0.184 0.184 0.345
0.816 0.816 0.655
0.964 0.964 0.313
```

---

First-principles (GGA-PBE) data for crystalline Na8Cd3Hg2 at its relaxed geometry, as listed in the Alexandria database.

Summary:
Space-group type = C2/m

Cell and atoms, written as POSCAR:
```
Na8Cd3Hg2
1.0
6.131 -5.624 0.000
6.131 5.624 0.000
-2.195 0.000 5.364
Na Cd Hg
8 3 2
Direct
0.070 0.070 0.294
0.100 0.575 0.848
0.357 0.357 0.419
0.425 0.900 0.152
0.575 0.100 0.848
0.643 0.643 0.581
0.900 0.425 0.152
0.930 0.930 0.706
0.244 0.756 0.500
0.500 0.500 0.000
0.756 0.244 0.500
0.203 0.203 0.863
0.797 0.797 0.137
```

---

First-principles (GGA-PBE) data for crystalline Na2CdHg12 at its relaxed geometry, as listed in the Alexandria database.

Summary:
Space-group type = P4/nbm

Cell and atoms, written as POSCAR:
```
Na2CdHg12
1.0
6.694 0.000 0.000
0.000 6.694 0.000
0.000 0.000 19.409
Na Cd Hg
4 2 24
Direct
0.250 0.750 0.239
0.250 0.750 0.761
0.750 0.250 0.239
0.750 0.250 0.761
0.250 0.750 0.000
0.750 0.250 0.000
0.000 0.000 0.095
0.000 0.000 0.905
0.000 0.500 0.095
0.000 0.500 0.905
0.084 0.584 0.432
0.084 0.916 0.568
0.250 0.250 0.193
0.250 0.250 0.341
0.250 0.250 0.659
0.250 0.250 0.807
0.416 0.584 0.568
0.416 0.916 0.432
0.500 0.000 0.095
0.500 0.000 0.905
0.500 0.500 0.095
0.500 0.500 0.905
0.584 0.084 0.568
0.584 0.416 0.432
0.750 0.750 0.193
0.750 0.750 0.341
0.750 0.750 0.659
0.750 0.750 0.807
0.916 0.084 0.432
0.916 0.416 0.568
```

---

First-principles (GGA-PBE) data for crystalline NaCd4Hg at its relaxed geometry, as listed in the Alexandria database.

Summary:
Space-group type = Pmma

Cell and atoms, written as POSCAR:
```
NaCd4Hg
1.0
6.866 0.000 0.000
0.000 5.220 0.000
0.000 0.000 8.253
Na Cd Hg
2 8 2
Direct
0.250 0.000 0.154
0.750 0.000 0.846
0.000 0.000 0.500
0.026 0.500 0.823
0.250 0.500 0.460
0.474 0.500 0.823
0.500 0.000 0.500
0.526 0.500 0.177
0.750 0.500 0.540
0.974 0.500 0.177
0.250 0.000 0.793
0.750 0.000 0.207
```

---

First-principles (GGA-PBE) data for crystalline NaCd3Hg2 at its relaxed geometry, as listed in the Alexandria database.

Summary:
Space-group type = C2/m

Cell and atoms, written as POSCAR:
```
NaCd3Hg2
1.0
7.140 -2.206 0.000
7.140 2.206 0.000
-4.298 0.000 9.176
Na Cd Hg
2 6 4
Direct
0.131 0.131 0.114
0.869 0.869 0.886
0.046 0.046 0.379
0.285 0.285 0.617
0.382 0.382 0.382
0.618 0.618 0.618
0.715 0.715 0.383
0.954 0.954 0.621
0.205 0.205 0.862
0.477 0.477 0.142
0.523 0.523 0.858
0.795 0.795 0.138
```

---

First-principles (GGA-PBE) data for crystalline Na2Cd3Hg8 at its relaxed geometry, as listed in the Alexandria database.

Summary:
Space-group type = C2/m

Cell and atoms, written as POSCAR:
```
Na2Cd3Hg8
1.0
7.924 -3.682 0.000
7.924 3.682 0.000
-2.081 0.000 6.100
Na Cd Hg
2 3 8
Direct
0.205 0.205 0.187
0.795 0.795 0.813
0.000 0.000 0.500
0.199 0.801 0.000
0.801 0.199 0.000
0.166 0.588 0.547
0.248 0.248 0.754
0.412 0.412 0.166
0.412 0.834 0.453
0.588 0.166 0.547
0.588 0.588 0.834
0.752 0.752 0.246
0.834 0.412 0.453
```

---

First-principles (GGA-PBE) data for crystalline Na3CdHg3 at its relaxed geometry, as listed in the Alexandria database.

Summary:
Space-group type = Cmcm

Cell and atoms, written as POSCAR:
```
Na3CdHg3
1.0
2.096 -5.844 0.000
2.096 5.844 0.000
0.000 0.000 15.971
Na Cd Hg
6 2 6
Direct
0.039 0.961 0.750
0.320 0.680 0.598
0.320 0.680 0.902
0.680 0.320 0.098
0.680 0.320 0.402
0.961 0.039 0.250
0.000 0.000 0.000
0.000 0.000 0.500
0.228 0.772 0.250
0.392 0.608 0.104
0.392 0.608 0.396
0.608 0.392 0.604
0.608 0.392 0.896
0.772 0.228 0.750
```

---

no.,final energy (eV per atom),V (Å³/cell),formation energy (meV per atom)
1,-0.706,165,166.7
2,-0.975,255,-204.6
3,-0.876,315,-184.1
4,-0.617,530,-29.2
5,-0.649,499,-61.4
6,-1.071,350,-124.4
7,-1.152,370,-83.1
8,-0.520,870,-41.2
9,-0.920,296,-39.8
10,-0.870,289,-91.8
11,-0.669,356,-68.7
12,-1.008,391,-183.0